{"formula": "TcNiIr2", "functional": "GGA-PBEsol", "state": "relaxed", "cell": [[2.681, 0.000, 0.000], [0.000, 3.707, 0.000], [0.000, 0.000, 5.298]], "species": ["Ni", "Ir", "Ir", "Tc"], "fractional_positions": [[0.500, 0.500, 0.000], [0.000, 0.000, 0.755], [0.000, 0.000, 0.245], [0.500, 0.500, 0.500]], "m_tot_mub_per_fu": 0.00, "e_above_lowest_polymorph_mev_per_atom": 0.0, "final_energy_ev_per_atom": -9.39, "n_ef_per_ev_atom": 1.0587, "crystal_system": "orthorhombic", "formation_enthalpy_0k_ev_per_atom": -0.126}


{"formula": "K2SrTiH", "functional": "GGA-PBEsol", "state": "relaxed", "cell": [[-0.047, 1.980, 5.005], [-1.001, -4.921, 1.937], [5.477, -0.947, 0.426]], "species": ["Sr", "K", "K", "H", "Ti"], "fractional_positions": [[0.000, 0.000, 0.500], [0.000, 0.500, 0.000], [0.500, 0.000, 0.000], [0.000, 0.000, 0.000], [0.500, 0.500, 0.500]], "m_tot_mub_per_fu": 4.16, "final_energy_ev_per_atom": -2.55, "n_ef_per_ev_atom": 1.9392, "crystal_system": "tetragonal"}


{"formula": "Be17Nb2", "functional": "GGA-PBEsol", "state": "relaxed", "cell": [[-1.314, 1.467, -5.178], [1.850, -4.591, -2.488], [-4.863, -2.643, -0.233]], "species": ["Be", "Be", "Be", "Be", "Be", "Be", "Be", "Be", "Be", "Be", "Be", "Be", "Be", "Be", "Be", "Be", "Be", "Nb", "Nb"], "fractional_positions": [[0.401, 0.401, 0.401], [0.599, 0.599, 0.599], [0.500, 0.000, 0.500], [0.000, 0.500, 0.500], [0.500, 0.500, 0.000], [0.794, 0.206, 0.500], [0.206, 0.500, 0.794], [0.500, 0.794, 0.206], [0.206, 0.794, 0.500], [0.794, 0.500, 0.206], [0.500, 0.206, 0.794], [0.153, 0.153, 0.660], [0.153, 0.660, 0.153], [0.660, 0.153, 0.153], [0.340, 0.847, 0.847], [0.847, 0.847, 0.340], [0.847, 0.340, 0.847], [0.160, 0.160, 0.160], [0.840, 0.840, 0.840]], "m_tot_mub_per_fu": 0.00, "final_energy_ev_per_atom": -4.91, "n_ef_per_ev_atom": 0.2434, "crystal_system": "trigonal", "formation_enthalpy_0k_ev_per_atom": -0.192}


{"formula": "TaH3N", "functional": "GGA-PBEsol", "state": "relaxed", "cell": [[3.440, 0.000, 0.000], [0.000, 3.440, 0.000], [0.000, 0.000, 3.440]], "species": ["H", "H", "H", "Ta", "N"], "fractional_positions": [[0.000, 0.500, 0.000], [0.000, 0.000, 0.500], [0.500, 0.000, 0.000], [0.000, 0.000, 0.000], [0.500, 0.500, 0.500]], "m_tot_mub_per_fu": 0.00, "final_energy_ev_per_atom": -5.06, "n_ef_per_ev_atom": 0.4577, "crystal_system": "cubic"}


{"formula": "LiEuAs", "functional": "GGA-PBEsol", "state": "relaxed", "cell": [[-0.049, 2.724, -3.442], [-0.432, -5.712, -4.515], [-7.790, 0.309, 0.354]], "species": ["Li", "Li", "Li", "Li", "Eu", "Eu", "Eu", "Eu", "As", "As", "As", "As"], "fractional_positions": [[0.750, 0.839, 0.926], [0.750, 0.339, 0.574], [0.250, 0.161, 0.074], [0.250, 0.661, 0.426], [0.750, 0.992, 0.294], [0.750, 0.492, 0.206], [0.250, 0.008, 0.706], [0.250, 0.508, 0.794], [0.750, 0.726, 0.596], [0.750, 0.226, 0.904], [0.250, 0.274, 0.404], [0.250, 0.774, 0.096]], "m_tot_mub_per_fu": 7.00, "final_energy_ev_per_atom": -6.94, "n_ef_per_ev_atom": 3.2867, "crystal_system": "orthorhombic", "formation_enthalpy_0k_ev_per_atom": -1.063}


{"formula": "Ti2H2W", "functional": "GGA-PBEsol", "state": "relaxed", "cell": [[-1.186, 2.930, 0.251], [-2.540, -1.157, 1.503], [4.265, -0.300, 3.632]], "species": ["H", "H", "W", "Ti", "Ti"], "fractional_positions": [[0.250, 0.750, 0.500], [0.750, 0.250, 0.500], [0.000, 0.000, 0.000], [0.352, 0.352, 0.704], [0.648, 0.648, 0.296]], "m_tot_mub_per_fu": 0.00, "final_energy_ev_per_atom": -7.68, "n_ef_per_ev_atom": 0.6655, "crystal_system": "tetragonal"}


{"formula": "LaTeOs2", "functional": "GGA-PBEsol", "state": "relaxed", "cell": [[3.941, 0.000, 0.000], [0.000, 4.417, 0.000], [0.000, 0.000, 4.417]], "species": ["La", "Os", "Os", "Te"], "fractional_positions": [[0.500, 0.000, 0.000], [0.000, 0.000, 0.500], [0.000, 0.500, 0.000], [0.500, 0.500, 0.500]], "m_tot_mub_per_fu": 0.00, "final_energy_ev_per_atom": -7.86, "n_ef_per_ev_atom": 0.8834, "crystal_system": "tetragonal", "e_form_raw_ev_per_fu": 1.87}


{"formula": "CdAg2P", "functional": "GGA-PBEsol", "state": "relaxed", "cell": [[-3.454, -0.766, -1.914], [-1.564, -1.460, 3.406], [1.103, 4.951, 0.254]], "species": ["Ag", "Ag", "Cd", "P"], "fractional_positions": [[0.000, 0.000, 0.000], [0.750, 0.250, 0.500], [0.500, 0.500, 0.000], [0.250, 0.750, 0.500]], "m_tot_mub_per_fu": 0.00, "e_above_lowest_polymorph_mev_per_atom": 0.0, "final_energy_ev_per_atom": -3.25, "n_ef_per_ev_atom": 0.3563, "crystal_system": "tetragonal", "formation_enthalpy_0k_ev_per_atom": 0.150}


{"formula": "Ta2PtAu", "functional": "GGA-PBEsol", "state": "relaxed", "cell": [[-1.442, -2.361, -0.479], [3.209, -2.232, 1.341], [-2.057, 0.193, 5.243]], "species": ["Au", "Pt", "Ta", "Ta"], "fractional_positions": [[0.500, 0.500, 0.000], [0.500, 0.500, 0.500], [0.000, 0.000, 0.745], [0.000, 0.000, 0.255]], "m_tot_mub_per_fu": 0.00, "final_energy_ev_per_atom": -9.36, "n_ef_per_ev_atom": 0.5550, "crystal_system": "orthorhombic", "formation_enthalpy_0k_ev_per_atom": -0.361}


{"formula": "Y2BeAu", "functional": "GGA-PBEsol", "state": "relaxed", "cell": [[-2.657, 0.537, -2.229], [2.668, -1.917, -3.644], [-1.775, -4.453, 1.043]], "species": ["Y", "Y", "Be", "Au"], "fractional_positions": [[0.000, 0.000, 0.500], [0.000, 0.500, 0.000], [0.500, 0.000, 0.000], [0.500, 0.500, 0.500]], "m_tot_mub_per_fu": 0.00, "final_energy_ev_per_atom": -5.77, "n_ef_per_ev_atom": 0.5843, "crystal_system": "tetragonal", "formation_enthalpy_0k_ev_per_atom": -0.376}


{"formula": "PS2ClF", "functional": "GGA-PBEsol", "state": "relaxed", "cell": [[4.040, 0.000, 0.000], [0.000, 4.040, 0.000], [0.000, 0.000, 5.266]], "species": ["P", "S", "S", "F", "Cl"], "fractional_positions": [[0.500, 0.500, 0.500], [0.000, 0.500, 0.000], [0.500, 0.000, 0.000], [0.000, 0.000, 0.000], [0.000, 0.000, 0.500]], "m_tot_mub_per_fu": 0.00, "e_above_lowest_polymorph_mev_per_atom": 0.0, "final_energy_ev_per_atom": -2.88, "n_ef_per_ev_atom": 0.6108, "crystal_system": "tetragonal", "e_form_raw_ev_per_fu": 4.10}


{"formula": "CdPb2", "functional": "GGA-PBEsol", "state": "relaxed", "cell": [[-0.154, 0.129, -3.371], [-2.732, -3.830, -0.021], [-2.735, 4.829, 2.001]], "species": ["Pb", "Pb", "Cd"], "fractional_positions": [[0.663, 0.663, 0.326], [0.337, 0.337, 0.674], [0.000, 0.000, 0.000]], "m_tot_mub_per_fu": 0.00, "e_above_lowest_polymorph_mev_per_atom": 18.7, "final_energy_ev_per_atom": -3.01, "n_ef_per_ev_atom": 0.4645, "crystal_system": "orthorhombic", "formation_enthalpy_0k_ev_per_atom": 0.053}


{"formula": "NaCuAsO4", "functional": "GGA-PBEsol", "state": "relaxed", "cell": [[-2.576, -5.405, -0.442], [7.692, -3.875, 5.822], [-5.754, 2.012, 8.941]], "species": ["Na", "Na", "Na", "Na", "Na", "Na", "Na", "Na", "Cu", "Cu", "Cu", "Cu", "Cu", "Cu", "Cu", "Cu", "As", "As", "As", "As", "As", "As", "As", "As", "O", "O", "O", "O", "O", "O", "O", "O", "O", "O", "O", "O", "O", "O", "O", "O", "O", "O", "O", "O", "O", "O", "O", "O", "O", "O", "O", "O", "O", "O", "O", "O"], "fractional_positions": [[0.630, 0.382, 0.370], [0.872, 0.616, 0.650], [0.370, 0.618, 0.630], [0.128, 0.884, 0.150], [0.630, 0.882, 0.130], [0.128, 0.384, 0.350], [0.370, 0.118, 0.870], [0.872, 0.116, 0.850], [0.646, 0.717, 0.898], [0.158, 0.512, 0.881], [0.354, 0.783, 0.398], [0.646, 0.217, 0.602], [0.158, 0.012, 0.619], [0.354, 0.283, 0.102], [0.842, 0.488, 0.119], [0.842, 0.988, 0.381], [0.376, 0.093, 0.366], [0.376, 0.593, 0.134], [0.872, 0.678, 0.380], [0.624, 0.907, 0.634], [0.872, 0.178, 0.120], [0.128, 0.322, 0.620], [0.128, 0.822, 0.880], [0.624, 0.407, 0.866], [0.359, 0.843, 0.970], [0.596, 0.553, 0.796], [0.870, 0.818, 0.297], [0.856, 0.408, 0.960], [0.856, 0.908, 0.540], [0.884, 0.046, 0.216], [0.130, 0.682, 0.797], [0.111, 0.668, 0.469], [0.626, 0.122, 0.446], [0.626, 0.622, 0.054], [0.650, 0.781, 0.732], [0.889, 0.332, 0.531], [0.641, 0.657, 0.470], [0.111, 0.168, 0.031], [0.350, 0.719, 0.232], [0.404, 0.447, 0.204], [0.144, 0.592, 0.040], [0.404, 0.947, 0.296], [0.884, 0.546, 0.284], [0.359, 0.343, 0.530], [0.374, 0.378, 0.946], [0.374, 0.878, 0.554], [0.596, 0.053, 0.704], [0.350, 0.219, 0.268], [0.650, 0.281, 0.768], [0.144, 0.092, 0.460], [0.130, 0.182, 0.703], [0.116, 0.454, 0.716], [0.641, 0.157, 0.030], [0.870, 0.318, 0.203], [0.889, 0.832, 0.969], [0.116, 0.954, 0.784]], "m_tot_mub_per_fu": 0.98, "final_energy_ev_per_atom": -5.74, "n_ef_per_ev_atom": 0.1728, "crystal_system": "monoclinic", "e_form_raw_ev_per_fu": -8.36}


{"formula": "CrCdMo", "functional": "GGA-PBEsol", "state": "relaxed", "cell": [[4.328, 0.000, 0.000], [2.164, 3.748, 0.000], [2.164, 1.249, 3.534]], "species": ["Cd", "Cr", "Mo"], "fractional_positions": [[0.000, 0.000, 0.000], [0.500, 0.500, 0.500], [0.250, 0.250, 0.250]], "m_tot_mub_per_fu": 0.56, "e_above_lowest_polymorph_mev_per_atom": 0.0, "final_energy_ev_per_atom": -6.41, "n_ef_per_ev_atom": 0.8725, "crystal_system": "cubic", "formation_enthalpy_0k_ev_per_atom": 1.322}


{"formula": "LaTlAu", "functional": "GGA-PBEsol", "state": "relaxed", "cell": [[3.595, 0.000, 0.000], [0.000, 4.899, 0.000], [0.000, -2.449, 4.242]], "species": ["Tl", "Au", "La"], "fractional_positions": [[0.500, 0.333, 0.667], [0.500, 0.000, 0.000], [0.000, 0.667, 0.333]], "m_tot_mub_per_fu": 0.00, "final_energy_ev_per_atom": -4.58, "n_ef_per_ev_atom": 0.6321, "crystal_system": "hexagonal", "formation_enthalpy_0k_ev_per_atom": -0.608}


{"formula": "LiMnPO4", "functional": "GGA-PBEsol", "state": "relaxed", "cell": [[-2.355, -2.282, 3.793], [-2.234, -0.777, -4.421], [3.519, -5.097, -0.882]], "species": ["Li", "Li", "Mn", "Mn", "P", "P", "O", "O", "O", "O", "O", "O", "O", "O"], "fractional_positions": [[0.000, 0.000, 0.500], [0.000, 0.000, 0.000], [0.321, 0.679, 0.750], [0.679, 0.321, 0.250], [0.351, 0.649, 0.250], [0.649, 0.351, 0.750], [0.758, 0.688, 0.750], [0.688, 0.758, 0.250], [0.312, 0.242, 0.750], [0.242, 0.312, 0.250], [0.241, 0.759, 0.052], [0.241, 0.759, 0.448], [0.759, 0.241, 0.552], [0.759, 0.241, 0.948]], "m_tot_mub_per_fu": 5.00, "e_above_lowest_polymorph_mev_per_atom": 44.8, "final_energy_ev_per_atom": -7.53, "n_ef_per_ev_atom": 0.0000, "crystal_system": "orthorhombic", "e_form_raw_ev_per_fu": -14.19}


{"formula": "SbRu2", "functional": "GGA-PBEsol", "state": "relaxed", "cell": [[5.193, 0.000, 0.000], [2.596, 4.497, 0.000], [2.596, 1.499, 4.240]], "species": ["Ru", "Ru", "Ru", "Ru", "Sb", "Sb"], "fractional_positions": [[0.125, 0.125, 0.125], [0.125, 0.125, 0.625], [0.125, 0.625, 0.125], [0.625, 0.125, 0.125], [0.500, 0.500, 0.500], [0.750, 0.750, 0.750]], "m_tot_mub_per_fu": 0.00, "final_energy_ev_per_atom": -7.76, "n_ef_per_ev_atom": 1.2419, "crystal_system": "cubic", "e_form_raw_ev_per_fu": 1.61}


{"formula": "TaPAu2", "functional": "GGA-PBEsol", "state": "relaxed", "cell": [[-1.493, 0.446, -2.451], [0.442, -4.333, -1.057], [-3.565, -1.235, 3.570]], "species": ["Au", "Au", "P", "Ta"], "fractional_positions": [[0.145, 0.000, 0.761], [0.855, 0.000, 0.239], [0.500, 0.500, 0.000], [0.500, 0.500, 0.500]], "m_tot_mub_per_fu": 0.00, "final_energy_ev_per_atom": -6.50, "n_ef_per_ev_atom": 0.5907, "crystal_system": "monoclinic", "formation_enthalpy_0k_ev_per_atom": 0.045}


{"formula": "Sr2TcBr", "functional": "GGA-PBEsol", "state": "relaxed", "cell": [[-2.705, 0.941, 2.064], [-2.159, -4.748, -0.665], [4.220, -2.425, 3.615]], "species": ["Sr", "Sr", "Tc", "Br"], "fractional_positions": [[0.996, 0.500, 0.992], [0.259, 0.000, 0.518], [0.515, 0.000, 0.029], [0.730, 0.500, 0.460]], "m_tot_mub_per_fu": 1.73, "final_energy_ev_per_atom": -4.15, "n_ef_per_ev_atom": 0.9305, "crystal_system": "orthorhombic", "e_form_raw_ev_per_fu": 0.20}


{"formula": "K2TiSi3O9", "functional": "GGA-PBEsol", "state": "relaxed", "cell": [[7.621, -0.010, -0.009], [0.993, 7.556, -0.009], [0.993, 0.870, 7.506]], "species": ["K", "K", "K", "K", "Ti", "Ti", "Si", "Si", "Si", "Si", "Si", "Si", "O", "O", "O", "O", "O", "O", "O", "O", "O", "O", "O", "O", "O", "O", "O", "O", "O", "O"], "fractional_positions": [[0.770, 0.992, 0.230], [0.992, 0.230, 0.770], [0.230, 0.770, 0.992], [0.500, 0.500, 0.500], [0.221, 0.221, 0.221], [0.739, 0.739, 0.739], [0.511, 0.098, 0.891], [0.891, 0.511, 0.098], [0.098, 0.891, 0.511], [0.548, 0.437, 0.018], [0.018, 0.548, 0.437], [0.437, 0.018, 0.548], [0.101, 0.013, 0.320], [0.161, 0.681, 0.474], [0.474, 0.161, 0.681], [0.949, 0.632, 0.241], [0.632, 0.241, 0.949], [0.846, 0.556, 0.585], [0.907, 0.906, 0.630], [0.906, 0.630, 0.907], [0.585, 0.846, 0.556], [0.241, 0.949, 0.632], [0.630, 0.907, 0.906], [0.556, 0.585, 0.846], [0.681, 0.474, 0.161], [0.121, 0.350, 0.427], [0.427, 0.121, 0.350], [0.013, 0.320, 0.101], [0.350, 0.427, 0.121], [0.320, 0.101, 0.013]], "m_tot_mub_per_fu": 0.00, "final_energy_ev_per_atom": -7.75, "n_ef_per_ev_atom": 0.0000, "crystal_system": "trigonal", "e_form_raw_ev_per_fu": -41.19}